Entry 1:
Below is a relaxed structure of H2I3, with properties calculated at the PBE level.

Lattice parameters (Å, degrees): 15.9400 8.1020 22.3970 69.51 69.15 10.36
Element x y z (fractional)
H (0.5466, 0.1838, 0.9874)
H (0.7178, 0.8162, 0.0126)
H (0.2841, 0.6838, 0.5126)
H (0.4804, 0.3162, 0.4874)
I (0.0171, 0.9979, 0.8110)
I (0.8260, 0.0021, 0.1890)
I (0.5781, 0.4979, 0.6890)
I (0.7650, 0.5021, 0.3110)
I (0.8925, 0.0000, 0.0000)
I (0.6425, 0.5000, 0.5000)

Summary:
**Symmetry**: Fdd2
**Electronic total energy**: -22.49 eV/cell

***

Entry 2:
Below is a relaxed structure of H2I, with properties calculated at the PBE level.

Lattice parameters (Å, degrees): 5.8262 5.8262 4.7752 127.63 127.63 89.98
Element x y z (fractional)
I (0.5000, 0.5000, 0.0000)
H (0.0897, 0.0897, 0.1794)
H (0.9103, 0.9103, 0.8206)

Summary:
**Symmetry**: I4/mmm
**Electronic total energy**: -7.58 eV/cell
**Relative energy among the computed polymorphs**: 0.48 eV/f.u.

***

Q: Which of these has the highest electronic total energy?
A: H2I